Computed, not measured: a geometry-optimized Nd5Dy3Ho3 structure at the GGA-PBE level of DFT.

Cell: 3.456 11.283 11.283 Å, 120.00 90.00 90.00°
Fractional coordinates of all 11 atoms:
1 Nd 0.500 0.333 0.667
2 Nd 0.500 0.000 0.339
3 Nd 0.500 0.667 0.333
4 Nd 0.500 0.339 0.000
5 Nd 0.500 0.661 0.661
6 Dy 0.000 0.404 0.404
7 Dy 0.000 0.596 0.000
8 Dy 0.000 0.000 0.596
9 Ho 0.500 0.159 0.159
10 Ho 0.500 0.841 0.000
11 Ho 0.500 0.000 0.841

SG: P-62m (189)
Crystal system: hexagonal
Density (g cm⁻³): 7.425
Energy of formation from the pure elements (eV/atom): 0.32
Energy above the most stable polymorph in this dataset (eV per formula unit): 0.000